Material: Rb2NaUI8
Method: DFT, PBE
State: relaxed

For the total energy, the calculation gives -3.28 eV per atom.

a = 7.6266 Å, b = 8.1750 Å, c = 10.7757 Å
α = 89.55°, β = 89.83°, γ = 85.44°
Last column: nearest neighbours and their distance in Å.
Space group P-1 (No. 2)
Unique sites:
Rb (0.0091, 0.4981, 0.2338) x2  4 I 3.53-3.87
Na (0.5000, 0.0000, 0.0000) x1  2 I 2.94
U (0.5000, 0.0000, 0.5000) x1  6 I 2.93-2.96
I (0.2583, 0.2981, 0.9953) x2  1 Na 2.94
I (0.2687, 0.8875, 0.3070) x2  1 U 2.93
I (0.2753, 0.8785, 0.6955) x2  1 U 2.93
I (0.2942, 0.3219, 0.5045) x2  1 U 2.96

Material: RbNaVI6
Method: DFT, PBE
State: relaxed

For the total energy, the calculation gives -3.06 eV per atom.

a = 7.8994 Å, b = 7.8994 Å, c = 7.7280 Å
α = 90.00°, β = 90.00°, γ = 120.00°
Last column: nearest neighbours and their distance in Å.
Space group P312 (No. 149)
Unique sites:
Rb (0.0000, 0.0000, 0.0000) x1  6 I 3.73
Na (0.3333, 0.6667, 0.5000) x1  6 I 3.19
V (0.6667, 0.3333, 0.5000) x1  6 I 2.74
I (0.3946, 0.0431, 0.7073) x6  1 V 2.74

Material: Rb2NaVI6
Method: DFT, PBE
State: relaxed

For the total energy, the calculation gives -3.16 eV per atom.

a = 8.1839 Å, b = 8.2771 Å, c = 8.2956 Å
α = 61.62°, β = 62.21°, γ = 61.35°
Last column: nearest neighbours and their distance in Å.
Space group P1 (No. 1)
Unique sites:
Rb (0.0000, 0.0000, 0.0000) x1  6 I 3.70-4.09
Rb (0.4927, 0.5009, 0.5143) x1  6 I 3.70-4.09
Na (0.2465, 0.2507, 0.2564) x1  6 I 3.20-3.23
V (0.7464, 0.7506, 0.7567) x1  6 I 2.79-2.80
I (0.0325, 0.9300, 0.5547) x1  1 V 2.79
I (0.4602, 0.5712, 0.9590) x1  1 V 2.79
I (0.4987, 0.0404, 0.9303) x1  1 V 2.80
I (0.5868, 0.9730, 0.4525) x1  1 V 2.80
I (0.9057, 0.5282, 0.0610) x1  1 V 2.80
I (0.9939, 0.4609, 0.5830) x1  1 V 2.80

Material: RbNa2YI6
Method: DFT, PBE
State: relaxed

For the total energy, the calculation gives -3.29 eV per atom.

a = 8.2449 Å, b = 8.2449 Å, c = 22.6539 Å
α = 90.00°, β = 90.00°, γ = 120.00°
Last column: nearest neighbours and their distance in Å.
Space group R3 (No. 146, hexagonal axes)
Unique sites:
Rb (0.0000, 0.0000, 0.0000) x3  6 I 3.59-3.81
Na (0.0000, 0.0000, 0.2918) x3  6 I 3.28-3.36
Na (0.0000, 0.0000, 0.8076) x3  6 I 3.20-3.33
Y (0.0000, 0.0000, 0.4813) x3  6 I 3.06
I (0.0030, 0.3159, 0.5534) x9  1 Y 3.06, 2 Na 3.28-3.33
I (0.0211, 0.6118, 0.0629) x9  1 Y 3.06, 2 Na 3.20-3.36

Material: RbNaZnI4
Method: DFT, PBE
State: relaxed

For the total energy, the calculation gives -2.43 eV per atom.

a = 7.6786 Å, b = 8.2729 Å, c = 9.8529 Å
α = 90.00°, β = 107.47°, γ = 90.00°
Last column: nearest neighbours and their distance in Å.
Space group P2_1/m (No. 11)
Unique sites:
Rb (0.2341, 0.2500, 0.0571) x2  6 I 3.67-3.84
Na (0.2311, 0.2500, 0.5616) x2  6 I 3.17-3.52
Zn (0.2221, 0.7500, 0.3222) x2  4 I 2.61-2.65
I (0.0051, 0.0003, 0.7230) x4  1 Zn 2.65
I (0.4090, 0.7500, 0.1365) x2  1 Zn 2.64
I (0.4482, 0.7500, 0.5799) x2  1 Zn 2.61

Material: RbNaZn2I6
Method: DFT, PBE
State: relaxed

For the total energy, the calculation gives -2.30 eV per atom.

a = 9.8888 Å, b = 14.7683 Å, c = 14.4911 Å
α = 90.00°, β = 107.92°, γ = 90.00°
Last column: nearest neighbours and their distance in Å.
Space group C2/c (No. 15)
Unique sites:
Rb (0.0000, 0.1845, 0.2500) x4  6 I 3.64-3.90, 2 Zn 4.05
Na (0.0000, 0.2882, 0.7500) x4  4 I 3.15
Zn (0.1766, 0.4319, 0.3240) x8  4 I 2.59-2.72
I (0.0683, 0.4071, 0.1304) x8  2 Zn 2.70-2.72
I (0.1440, 0.1986, 0.6067) x8  1 Zn 2.60
I (0.2404, 0.0962, 0.1250) x8  1 Zn 2.59

Material: RbNa3Zn4I12
Method: DFT, PBE
State: relaxed

For the total energy, the calculation gives -2.25 eV per atom.

a = 16.1334 Å, b = 16.1334 Å, c = 12.6675 Å
α = 90.00°, β = 90.00°, γ = 120.00°
Last column: nearest neighbours and their distance in Å.
Space group R32 (No. 155, hexagonal axes)
Unique sites:
Rb (0.0000, 0.0000, 0.0000) x3  6 I 3.85
Na (0.0000, 0.5488, 0.0000) x9  6 I 3.20-3.35
Zn (0.0000, 0.0000, 0.5000) x3  3 I 2.54
Zn (0.0000, 0.4418, 0.5000) x9  3 I 2.55-2.56
I (0.0000, 0.6003, 0.5000) x9  1 Zn 2.56
I (0.0000, 0.8424, 0.5000) x9  1 Zn 2.54
I (0.0451, 0.2169, 0.1688) x18  1 Zn 2.55

Material: RbNaZrI6
Method: DFT, PBE
State: relaxed

For the total energy, the calculation gives -3.35 eV per atom.

a = 8.0849 Å, b = 8.0849 Å, c = 15.5675 Å
α = 90.00°, β = 90.00°, γ = 120.00°
Last column: nearest neighbours and their distance in Å.
Space group P-31c (No. 163)
Unique sites:
Rb (0.0000, 0.0000, 0.0000) x2  6 I 3.74
Na (0.3333, 0.6667, 0.2500) x2  6 I 3.24
Zr (0.3333, 0.6667, 0.7500) x2  6 I 2.89
I (0.0325, 0.3881, 0.6416) x12  1 Zr 2.89, 1 Na 3.24

Material: NaRe3I
Method: DFT, PBE
State: relaxed

The calculation puts the relative energy among the computed polymorphs at 0.0 meV/atom.

a = 4.8848 Å, b = 4.8848 Å, c = 4.8848 Å
α = 90.00°, β = 90.00°, γ = 90.00°
Last column: nearest neighbours and their distance in Å.
Space group Pm-3m (No. 221)
Unique sites:
Na (0.0000, 0.0000, 0.0000) x1  12 Re 3.45
Re (0.0000, 0.5000, 0.5000) x3  2 I 2.44
I (0.5000, 0.5000, 0.5000) x1  6 Re 2.44

Material: Na2ReI2
Method: DFT, PBE
State: relaxed

The calculation puts the relative energy among the computed polymorphs at 0.0 meV/atom.

a = 8.9915 Å, b = 8.9915 Å, c = 4.0119 Å
α = 90.00°, β = 90.00°, γ = 90.00°
Last column: nearest neighbours and their distance in Å.
Space group P4/mbm (No. 127)
Unique sites:
Na (0.1425, 0.3575, 0.0000) x4  6 I 3.22-3.38, 2 Re 3.46
Re (0.0000, 0.0000, 0.0000) x2  4 Na 3.46
I (0.1593, 0.6593, 0.5000) x4  6 Na 3.22-3.38

Material: Na2ReI
Method: DFT, PBE
State: relaxed

The calculation puts the relative energy among the computed polymorphs at 6.0 meV/atom.

a = 7.7308 Å, b = 7.7308 Å, c = 7.7308 Å
α = 90.00°, β = 90.00°, γ = 90.00°
Last column: nearest neighbours and their distance in Å.
Space group Fm-3m (No. 225)
Unique sites:
Na (0.2500, 0.2500, 0.2500) x8  4 Re 3.35, 4 I 3.35
Re (0.0000, 0.0000, 0.0000) x4  8 Na 3.35
I (0.0000, 0.0000, 0.5000) x4  8 Na 3.35

Material: Na2ReI
Method: DFT, PBE
State: relaxed

The calculation puts the relative energy among the computed polymorphs at 0.0 meV/atom.

a = 8.6097 Å, b = 8.6097 Å, c = 5.7278 Å
α = 90.00°, β = 90.00°, γ = 90.00°
Last column: nearest neighbours and their distance in Å.
Space group I-42d (No. 122)
Unique sites:
Na (0.2501, 0.2500, 0.1250) x8  2 Na 2.86, 2 I 3.13, 2 Re 3.13
Re (0.0000, 0.0000, 0.0000) x4  2 I 2.86, 4 Na 3.13
I (0.0000, 0.0000, 0.5000) x4  2 Re 2.86, 4 Na 3.13

Material: Na2ReI2
Method: DFT, PBE
State: relaxed

The calculation puts the relative energy among the computed polymorphs at 59.8 meV/atom.

a = 6.2815 Å, b = 6.2815 Å, c = 11.8429 Å
α = 90.00°, β = 90.00°, γ = 90.00°
Last column: nearest neighbours and their distance in Å.
Space group I4/mmm (No. 139)
Unique sites:
Na (0.0000, 0.0000, 0.2273) x4  4 I 3.15, 1 Re 3.23
Re (0.0000, 0.0000, 0.5000) x2  2 Na 3.23
I (0.0000, 0.5000, 0.2500) x4  4 Na 3.15

Material: NaRe3I
Method: DFT, PBE
State: relaxed

The calculation puts the relative energy among the computed polymorphs at 722.3 meV/atom.

a = 4.6395 Å, b = 4.6395 Å, c = 4.6395 Å
α = 90.00°, β = 90.00°, γ = 90.00°
Last column: nearest neighbours and their distance in Å.
Space group Pm-3m (No. 221)
Unique sites:
Na (0.0000, 0.0000, 0.0000) x1  6 Re 2.32
Re (0.0000, 0.0000, 0.5000) x3  2 Na 2.32
I (0.5000, 0.5000, 0.5000) x1  12 Re 3.28

Material: NaReSi2I
Method: DFT, PBE
State: relaxed

For the total energy, the calculation gives -2.91 eV per atom.

a = 4.7454 Å, b = 4.7454 Å, c = 5.2393 Å
α = 90.00°, β = 90.00°, γ = 90.00°
Last column: nearest neighbours and their distance in Å.
Space group P4/mmm (No. 123)
Unique sites:
Na (0.0000, 0.0000, 0.0000) x1  4 Si 2.37, 2 I 2.62
Re (0.5000, 0.5000, 0.5000) x1  4 I 3.36, 8 Si 3.53
Si (0.0000, 0.5000, 0.0000) x2  2 Na 2.37
I (0.0000, 0.0000, 0.5000) x1  2 Na 2.62

Material: NaTa2ReI
Method: DFT, PBE
State: relaxed

For the total energy, the calculation gives -5.56 eV per atom.

a = 5.0577 Å, b = 5.0577 Å, c = 4.8861 Å
α = 90.00°, β = 90.00°, γ = 90.00°
Last column: nearest neighbours and their distance in Å.
Space group P4/mmm (No. 123)
Unique sites:
Na (0.0000, 0.0000, 0.0000) x1  8 Ta 3.52, 4 Re 3.58
Ta (0.0000, 0.5000, 0.5000) x2  2 I 2.53
Re (0.5000, 0.5000, 0.0000) x1  2 I 2.44
I (0.5000, 0.5000, 0.5000) x1  2 Re 2.44, 4 Ta 2.53

Material: NaReTeI2
Method: DFT, PBE
State: relaxed

The calculation puts the relative energy among the computed polymorphs at 1049.0 meV/atom.

a = 5.6988 Å, b = 5.6988 Å, c = 5.9056 Å
α = 90.00°, β = 90.00°, γ = 90.00°
Last column: nearest neighbours and their distance in Å.
Space group P4/mmm (No. 123)
Unique sites:
Na (0.0000, 0.0000, 0.0000) x1  4 I 2.85, 2 Te 2.95
Re (0.5000, 0.5000, 0.5000) x1  4 Te 4.03, 8 I 4.10
Te (0.0000, 0.0000, 0.5000) x1  2 Na 2.95
I (0.0000, 0.5000, 0.0000) x2  2 Na 2.85

Material: NaReTeI2
Method: DFT, PBE
State: relaxed

The calculation puts the relative energy among the computed polymorphs at 0.0 meV/atom.

a = 5.8183 Å, b = 5.8183 Å, c = 5.0674 Å
α = 90.00°, β = 90.00°, γ = 90.00°
Last column: nearest neighbours and their distance in Å.
Space group P4/mmm (No. 123)
Unique sites:
Na (0.0000, 0.0000, 0.0000) x1  8 I 3.86, 4 Te 4.11
Re (0.5000, 0.5000, 0.5000) x1  2 Te 2.53
Te (0.5000, 0.5000, 0.0000) x1  2 Re 2.53
I (0.0000, 0.5000, 0.5000) x2  2 Re 2.91

Material: NaReTe2I
Method: DFT, PBE
State: relaxed

The calculation puts the relative energy among the computed polymorphs at 0.0 meV/atom.

a = 5.1860 Å, b = 5.1860 Å, c = 6.1211 Å
α = 90.00°, β = 90.00°, γ = 90.00°
Last column: nearest neighbours and their distance in Å.
Space group P4/mmm (No. 123)
Unique sites:
Na (0.0000, 0.0000, 0.0000) x1  4 I 3.67, 8 Te 4.01
Re (0.5000, 0.5000, 0.5000) x1  4 Te 2.59
Te (0.0000, 0.5000, 0.5000) x2  2 Re 2.59
I (0.5000, 0.5000, 0.0000) x1  2 Re 3.06

Material: NaV2ReI
Method: DFT, PBE
State: relaxed

For the total energy, the calculation gives -5.69 eV per atom.

a = 4.7046 Å, b = 4.7046 Å, c = 5.9735 Å
α = 90.00°, β = 90.00°, γ = 90.00°
Last column: nearest neighbours and their distance in Å.
Space group P4/mmm (No. 123)
Unique sites:
Na (0.0000, 0.0000, 0.0000) x1  4 I 3.33
V (0.0000, 0.5000, 0.5000) x2  2 Re 2.35
Re (0.5000, 0.5000, 0.5000) x1  4 V 2.35
I (0.5000, 0.5000, 0.0000) x1  2 Re 2.99, 4 Na 3.33

Material: NaRh2I
Method: DFT, PBE
State: relaxed

The calculation puts the relative energy among the computed polymorphs at 0.0 meV/atom.

a = 6.5532 Å, b = 6.5532 Å, c = 6.5532 Å
α = 90.00°, β = 90.00°, γ = 90.00°
Last column: nearest neighbours and their distance in Å.
Space group Fm-3m (No. 225)
Unique sites:
Na (0.0000, 0.0000, 0.0000) x4  8 Rh 2.84
Rh (0.2500, 0.2500, 0.2500) x8  4 Na 2.84, 4 I 2.84
I (0.0000, 0.0000, 0.5000) x4  8 Rh 2.84

Material: NaRh3I
Method: DFT, PBE
State: relaxed

The calculation puts the relative energy among the computed polymorphs at 0.0 meV/atom.

a = 4.8931 Å, b = 4.8931 Å, c = 4.8931 Å
α = 90.00°, β = 90.00°, γ = 90.00°
Last column: nearest neighbours and their distance in Å.
Space group Pm-3m (No. 221)
Unique sites:
Na (0.0000, 0.0000, 0.0000) x1  12 Rh 3.46
Rh (0.0000, 0.5000, 0.5000) x3  2 I 2.45
I (0.5000, 0.5000, 0.5000) x1  6 Rh 2.45

Material: NaRhI3
Method: DFT, PBE
State: relaxed

The calculation puts the relative energy among the computed polymorphs at 0.0 meV/atom.

a = 5.5034 Å, b = 5.5034 Å, c = 5.5034 Å
α = 90.00°, β = 90.00°, γ = 90.00°
Last column: nearest neighbours and their distance in Å.
Space group Pm-3m (No. 221)
Unique sites:
Na (0.0000, 0.0000, 0.0000) x1  12 I 3.89
Rh (0.5000, 0.5000, 0.5000) x1  6 I 2.75
I (0.0000, 0.5000, 0.5000) x3  2 Rh 2.75

Material: NaRh2I
Method: DFT, PBE
State: relaxed

The calculation puts the relative energy among the computed polymorphs at 121.1 meV/atom.

a = 7.7063 Å, b = 7.7063 Å, c = 5.7895 Å
α = 90.00°, β = 90.00°, γ = 90.00°
Last column: nearest neighbours and their distance in Å.
Space group I-42d (No. 122)
Unique sites:
Na (0.0000, 0.0000, 0.0000) x4  2 I 2.89, 4 Rh 3.12
Rh (0.1950, 0.7500, 0.6250) x8  2 I 2.55
I (0.0000, 0.0000, 0.5000) x4  4 Rh 2.55